Record 1
A relaxed Pr2TlH crystal, computed with PBE.

abc: 3.7590 3.7590 24.4243
angles: 90.00 90.00 120.00
With the nearest neighbours (Å) after each atom.
Space group R-3m (No. 166, hexagonal axes)
Symmetry-distinct sites (fractional):
Pr 0.0000 0.0000 0.2262 (multiplicity 6)  3 H 2.61
Tl 0.0000 0.0000 0.0000 (multiplicity 3)  6 Pr 3.40, 6 Tl 3.76
H 0.0000 0.0000 0.5000 (multiplicity 3)  6 Pr 2.61

E   -4.123 eV per atom

=====

Record 2
A relaxed Pr6Tl3H crystal, computed with PBE.

abc: 6.5801 8.7434 11.9992
angles: 90.00 118.88 90.00
With the nearest neighbours (Å) after each atom.
Space group P2_1/c (No. 14)
Symmetry-distinct sites (fractional):
Pr 0.0770 0.0483 0.2236 (multiplicity 4)  1 H 2.51
Pr 0.1550 0.7068 0.0564 (multiplicity 4)  1 H 2.72
Pr 0.4144 0.1462 0.0502 (multiplicity 4)  1 H 2.80
Tl 0.3339 0.1172 0.7357 (multiplicity 4)  8 Pr 3.25-3.56
Tl 0.5000 0.0000 0.5000 (multiplicity 2)  6 Pr 3.16-3.25
H 0.0000 0.0000 0.0000 (multiplicity 2)  6 Pr 2.51-2.80

E   -4.143 eV per atom

=====

Record 3
A relaxed PrTlH crystal, computed with PBE.

abc: 3.8691 3.8691 5.3600
angles: 90.00 90.00 120.00
With the nearest neighbours (Å) after each atom.
Space group P-6m2 (No. 187)
Symmetry-distinct sites (fractional):
Pr 0.0000 0.0000 0.0000 (multiplicity 1)  3 H 2.23
Tl 0.3333 0.6667 0.5000 (multiplicity 1)  6 Pr 3.49, 6 H 3.49, 6 Tl 3.87
H 0.6667 0.3333 0.0000 (multiplicity 1)  3 Pr 2.23

E   -3.851 eV per atom

=====

Record 4
A relaxed Pr3TlH2 crystal, computed with PBE.

abc: 8.9296 11.9248 5.4133
angles: 90.00 90.00 90.00
With the nearest neighbours (Å) after each atom.
Space group Cmcm (No. 63)
Symmetry-distinct sites (fractional):
Pr 0.0000 0.1122 0.2500 (multiplicity 4)  4 H 2.32
Pr 0.2013 0.3891 0.2500 (multiplicity 8)  2 H 2.32
Tl 0.0000 0.3144 0.7500 (multiplicity 4)  8 Pr 3.37-3.63
H 0.1480 0.0000 0.0000 (multiplicity 8)  4 Pr 2.32

E   -4.297 eV per atom

=====

What is the formula in the second record? Pr6Tl3H

=====

Among the records above, which one has the lowest E? Pr3TlH2

=====

Among the records above, which one has the highest E? PrTlH

=====

What is the E in the second record? -4.143 eV per atom